# In2TcPt, PBEsol geometry, DFT meta-GGA SCAN
data_In2TcPt
_chemical_formula_sum 'In4 Tc2 Pt2'
_cell_length_a 2.979
_cell_length_b 4.603
_cell_length_c 10.371
_cell_angle_alpha 90.00
_cell_angle_beta 90.00
_cell_angle_gamma 90.00
_symmetry_space_group_name_H-M 'I m m 2'
_symmetry_Int_Tables_number 44
loop_
_symmetry_equiv_pos_as_xyz
'x,y,z'
'-x,-y,z'
'-x,y,z'
'x,-y,z'
'x+1/2,y+1/2,z+1/2'
'-x+1/2,-y+1/2,z+1/2'
'-x+1/2,y+1/2,z+1/2'
'x+1/2,-y+1/2,z+1/2'
loop_
_atom_site_label
_atom_site_fract_x
_atom_site_fract_y
_atom_site_fract_z
In1 0.000 0.000 0.000
In2 0.000 0.500 0.211
Tc1 0.000 0.000 0.472
Pt1 0.000 0.500 0.759
# total magnetization = 0.0 μB/cell
# raw total energy = -42.934 eV/atom

# La2ZrCr, PBEsol geometry, DFT meta-GGA SCAN
data_La2ZrCr
_chemical_formula_sum 'La4 Zr2 Cr2'
_cell_length_a 11.632
_cell_length_b 3.689
_cell_length_c 5.300
_cell_angle_alpha 90.00
_cell_angle_beta 117.09
_cell_angle_gamma 90.00
_symmetry_space_group_name_H-M 'C 1 m 1'
_symmetry_Int_Tables_number 8
loop_
_symmetry_equiv_pos_as_xyz
'x,y,z'
'x,-y,z'
'x+1/2,y+1/2,z'
'x+1/2,-y+1/2,z'
loop_
_atom_site_label
_atom_site_fract_x
_atom_site_fract_y
_atom_site_fract_z
La1 0.000 0.000 0.000
La2 0.223 0.000 0.723
Zr1 0.433 0.000 0.433
Cr1 0.248 0.500 0.249
# total magnetization = 5.2 μB/cell
# raw total energy = -33.588 eV/atom
# polymorph energy (0 for the lowest one) = 0.0000 eV per atom

# Hf3GeB, PBEsol geometry, DFT meta-GGA SCAN
data_Hf3GeB
_chemical_formula_sum 'Hf3 Ge1 B1'
_cell_length_a 4.468
_cell_length_b 4.468
_cell_length_c 4.468
_cell_angle_alpha 90.00
_cell_angle_beta 90.00
_cell_angle_gamma 90.00
_symmetry_space_group_name_H-M 'P m -3 m'
_symmetry_Int_Tables_number 221
_symmetry_space_group_name_Hall '-P 4 2 3'
loop_
_atom_site_label
_atom_site_fract_x
_atom_site_fract_y
_atom_site_fract_z
Hf1 0.000 0.000 0.500
Ge1 0.500 0.500 0.500
B1 0.000 0.000 0.000
# total magnetization = 0.0 μB/cell
# raw total energy = -43.235 eV/atom

# NbCrPd2, PBEsol geometry, DFT meta-GGA SCAN
data_NbCrPd2
_chemical_formula_sum 'Nb4 Cr4 Pd8'
_cell_length_a 6.272
_cell_length_b 6.272
_cell_length_c 6.272
_cell_angle_alpha 90.00
_cell_angle_beta 90.00
_cell_angle_gamma 90.00
_symmetry_space_group_name_H-M 'F m -3 m'
_symmetry_Int_Tables_number 225
_symmetry_space_group_name_Hall '-F 4 2 3'
loop_
_atom_site_label
_atom_site_fract_x
_atom_site_fract_y
_atom_site_fract_z
Nb1 0.000 0.000 0.000
Cr1 0.000 0.000 0.500
Pd1 0.250 0.250 0.250
# total magnetization = 17.2 μB/cell
# raw total energy = -29.380 eV/atom

# CaYTl, PBEsol geometry, DFT meta-GGA SCAN
data_CaYTl
_chemical_formula_sum 'Ca1 Y1 Tl1'
_cell_length_a 5.2379
_cell_length_b 5.2379
_cell_length_c 3.6603
_cell_angle_alpha 90.00
_cell_angle_beta 90.00
_cell_angle_gamma 120.00
_symmetry_space_group_name_H-M 'P 3 m 1'
_symmetry_Int_Tables_number 156
loop_
_symmetry_equiv_pos_as_xyz
'x,y,z'
'-y,x-y,z'
'-x+y,-x,z'
'-y,-x,z'
'-x+y,y,z'
'x,x-y,z'
loop_
_atom_site_label
_atom_site_fract_x
_atom_site_fract_y
_atom_site_fract_z
Ca1 0.0000 0.0000 0.0000
Y1 0.6667 0.3333 0.5502
Tl1 0.3333 0.6667 0.3219
# total magnetization = 0.0 μB/cell
# raw total energy = -36.946 eV/atom
# polymorph energy (0 for the lowest one) = 0.2407 eV per atom

# K4NpS2ClO10, PBEsol geometry, DFT meta-GGA SCAN
data_K4NpS2ClO10
_chemical_formula_sum 'K8 Np2 S4 Cl2 O20'
_cell_length_a 10.084
_cell_length_b 4.465
_cell_length_c 15.560
_cell_angle_alpha 90.00
_cell_angle_beta 116.03
_cell_angle_gamma 90.00
_symmetry_space_group_name_H-M 'P 1 2/c 1'
_symmetry_Int_Tables_number 13
loop_
_symmetry_equiv_pos_as_xyz
'x,y,z'
'-x,-y,-z'
'-x,y,-z+1/2'
'x,-y,z+1/2'
loop_
_atom_site_label
_atom_site_fract_x
_atom_site_fract_y
_atom_site_fract_z
K1 0.068 0.229 0.131
K2 0.334 0.231 0.892
Np1 0.500 0.266 0.250
S1 0.298 0.347 0.569
Cl1 0.000 0.265 0.750
O1 0.150 0.253 0.554
O2 0.313 0.320 0.083
O3 0.332 0.259 0.490
O4 0.347 0.267 0.285
O5 0.415 0.230 0.663
# total magnetization = 4.0 μB/cell
# raw total energy = -15.059 eV/atom

# BeNi2P, PBEsol geometry, DFT meta-GGA SCAN
data_BeNi2P
_chemical_formula_sum 'Be2 Ni4 P2'
_cell_length_a 3.281
_cell_length_b 3.281
_cell_length_c 7.194
_cell_angle_alpha 90.00
_cell_angle_beta 90.00
_cell_angle_gamma 90.00
_symmetry_space_group_name_H-M 'I -4 m 2'
_symmetry_Int_Tables_number 119
_symmetry_space_group_name_Hall 'I -4 -2'
loop_
_atom_site_label
_atom_site_fract_x
_atom_site_fract_y
_atom_site_fract_z
Be1 0.000 0.000 0.000
Ni1 0.000 0.000 0.500
Ni2 0.000 0.500 0.750
P1 0.000 0.500 0.250
# total magnetization = 0.0 μB/cell
# raw total energy = -12.144 eV/atom
# polymorph energy (0 for the lowest one) = 0.0082 eV per atom

# K2PAu, PBEsol geometry, DFT meta-GGA SCAN
data_K2PAu
_chemical_formula_sum 'K2 P1 Au1'
_cell_length_a 3.138
_cell_length_b 3.138
_cell_length_c 9.578
_cell_angle_alpha 90.00
_cell_angle_beta 90.00
_cell_angle_gamma 90.00
_symmetry_space_group_name_H-M 'P 4/m m m'
_symmetry_Int_Tables_number 123
_symmetry_space_group_name_Hall '-P 4 2'
loop_
_atom_site_label
_atom_site_fract_x
_atom_site_fract_y
_atom_site_fract_z
K1 0.000 0.000 0.242
P1 0.500 0.500 0.000
Au1 0.500 0.500 0.500
# total magnetization = 0.0 μB/cell
# raw total energy = -24.141 eV/atom

# K2GaP2, PBEsol geometry, DFT meta-GGA SCAN
data_K2GaP2
_chemical_formula_sum 'K16 Ga8 P16'
_cell_length_a 8.578
_cell_length_b 13.921
_cell_length_c 10.826
_cell_angle_alpha 90.00
_cell_angle_beta 118.70
_cell_angle_gamma 90.00
_symmetry_space_group_name_H-M 'P 1 21/c 1'
_symmetry_Int_Tables_number 14
loop_
_symmetry_equiv_pos_as_xyz
'x,y,z'
'-x,-y,-z'
'-x,y+1/2,-z+1/2'
'x,-y+1/2,z+1/2'
loop_
_atom_site_label
_atom_site_fract_x
_atom_site_fract_y
_atom_site_fract_z
K1 0.012 0.117 0.066
K2 0.076 0.633 0.901
K3 0.286 0.113 0.473
K4 0.486 0.128 0.962
Ga1 0.355 0.716 0.747
Ga2 0.494 0.059 0.259
P1 0.132 0.683 0.219
P2 0.231 0.536 0.221
P3 0.291 0.555 0.746
P4 0.389 0.215 0.225
# total magnetization = 0.0 μB/cell
# raw total energy = -11.334 eV/atom

# LaFe2Pb2, PBEsol geometry, DFT meta-GGA SCAN
data_LaFe2Pb2
_chemical_formula_sum 'La2 Fe4 Pb4'
_cell_length_a 4.309
_cell_length_b 4.309
_cell_length_c 11.992
_cell_angle_alpha 90.00
_cell_angle_beta 90.00
_cell_angle_gamma 90.00
_symmetry_space_group_name_H-M 'I 4/m m m'
_symmetry_Int_Tables_number 139
_symmetry_space_group_name_Hall '-I 4 2'
loop_
_atom_site_label
_atom_site_fract_x
_atom_site_fract_y
_atom_site_fract_z
La1 0.000 0.000 0.000
Fe1 0.000 0.500 0.250
Pb1 0.000 0.000 0.376
# total magnetization = 11.5 μB/cell
# raw total energy = -46.265 eV/atom

# KSrW2, PBEsol geometry, DFT meta-GGA SCAN
data_KSrW2
_chemical_formula_sum 'K1 Sr1 W2'
_cell_length_a 2.793
_cell_length_b 5.518
_cell_length_c 7.154
_cell_angle_alpha 90.00
_cell_angle_beta 90.00
_cell_angle_gamma 90.00
_symmetry_space_group_name_H-M 'P m m m'
_symmetry_Int_Tables_number 47
loop_
_symmetry_equiv_pos_as_xyz
'x,y,z'
'-x,-y,-z'
'-x,-y,z'
'x,y,-z'
'x,-y,-z'
'-x,y,z'
'-x,y,-z'
'x,-y,z'
loop_
_atom_site_label
_atom_site_fract_x
_atom_site_fract_y
_atom_site_fract_z
K1 0.000 0.000 0.000
Sr1 0.000 0.000 0.500
W1 0.500 0.500 0.335
# total magnetization = 0.0 μB/cell
# raw total energy = -40.942 eV/atom
# polymorph energy (0 for the lowest one) = 0.0000 eV per atom

# YRe2Pt, PBEsol geometry, DFT meta-GGA SCAN
data_YRe2Pt
_chemical_formula_sum 'Y3 Re6 Pt3'
_cell_length_a 2.8486
_cell_length_b 2.8486
_cell_length_c 28.3754
_cell_angle_alpha 90.00
_cell_angle_beta 90.00
_cell_angle_gamma 120.00
_symmetry_space_group_name_H-M 'R 3 m'
_symmetry_Int_Tables_number 160
_symmetry_space_group_name_Hall 'R 3 -2"'
loop_
_atom_site_label
_atom_site_fract_x
_atom_site_fract_y
_atom_site_fract_z
Y1 0.0000 0.0000 0.0000
Re1 0.0000 0.0000 0.2402
Re2 0.0000 0.0000 0.5011
Pt1 0.0000 0.0000 0.7543
# total magnetization = 0.0 μB/cell
# raw total energy = -59.839 eV/atom
# polymorph energy (0 for the lowest one) = 0.3410 eV per atom